Entry 1:
Entry from the Alexandria database: a relaxed GaCo2H crystal (PBE-GGA).

Summary:
ρ = 8.048 g/cm3
SG = I-42d, No. 122
Uncorrected energy = -0.3768 Ry/atom
M_tot = 7.49 μB per cell
Relative energy among the computed polymorphs = 78 meV/atom

```
GaCo2H
1.0
5.5150 0.0000 0.0000
0.0000 5.5150 0.0000
0.0000 0.0000 5.1174
Ga Co H
4 8 4
Direct
0.0000 0.0000 0.0000
0.0000 0.5000 0.2500
0.5000 0.0000 0.7500
0.5000 0.5000 0.5000
0.1447 0.2500 0.6250
0.2500 0.6447 0.8750
0.2500 0.8553 0.3750
0.3553 0.2500 0.1250
0.6447 0.7500 0.1250
0.7500 0.1447 0.3750
0.7500 0.3553 0.8750
0.8553 0.7500 0.6250
0.0000 0.0000 0.5000
0.0000 0.5000 0.7500
0.5000 0.0000 0.2500
0.5000 0.5000 0.0000
```

***

Entry 2:
Entry from the Alexandria database: a relaxed GaCoH2 crystal (PBE-GGA).

Summary:
ρ = 6.337 g/cm3
SG = I-42d, No. 122
Uncorrected energy = -0.2920 Ry/atom
M_tot = 0.00 μB per cell
Relative energy among the computed polymorphs = 286 meV/atom

```
GaCoH2
1.0
4.0439 0.0000 0.0000
0.0000 4.0439 0.0000
0.0000 0.0000 8.3750
Ga Co H
4 4 8
Direct
0.0000 0.0000 0.0000
0.0000 0.5000 0.2500
0.5000 0.0000 0.7500
0.5000 0.5000 0.5000
0.0000 0.0000 0.5000
0.0000 0.5000 0.7500
0.5000 0.0000 0.2500
0.5000 0.5000 0.0000
0.1542 0.2500 0.6250
0.2500 0.6542 0.8750
0.2500 0.8458 0.3750
0.3458 0.2500 0.1250
0.6542 0.7500 0.1250
0.7500 0.1542 0.3750
0.7500 0.3458 0.8750
0.8458 0.7500 0.6250
```

***

Entry 3:
Entry from the Alexandria database: a relaxed GaCo2H crystal (PBE-GGA).

Summary:
ρ = 8.328 g/cm3
SG = R-3m, No. 166
Uncorrected energy = -0.3822 Ry/atom
M_tot = 5.60 μB per cell
Relative energy among the computed polymorphs = 5 meV/atom

```
GaCo2H
1.0
2.6875 0.0000 0.0000
-1.3437 2.3274 0.0000
0.0000 0.0000 18.0361
Ga Co H
3 6 3
Direct
0.0000 0.0000 0.0000
0.3333 0.6667 0.6667
0.6667 0.3333 0.3333
0.0000 0.0000 0.2231
0.0000 0.0000 0.7769
0.3333 0.6667 0.4436
0.3333 0.6667 0.8898
0.6667 0.3333 0.1102
0.6667 0.3333 0.5564
0.0000 0.0000 0.5000
0.3333 0.6667 0.1667
0.6667 0.3333 0.8333
```

***

Entry 4:
Entry from the Alexandria database: a relaxed GaCo2H crystal (PBE-GGA).

Summary:
ρ = 7.117 g/cm3
SG = Fd-3m, No. 227
Uncorrected energy = -0.3611 Ry/atom
M_tot = 4.09 μB per cell
Relative energy among the computed polymorphs = 291 meV/atom

```
GaCo2H
1.0
0.0000 3.5305 3.5305
3.5305 0.0000 3.5305
3.5305 3.5305 0.0000
Ga Co H
2 4 2
Direct
0.1250 0.1250 0.1250
0.8750 0.8750 0.8750
0.0000 0.5000 0.5000
0.5000 0.0000 0.5000
0.5000 0.5000 0.0000
0.5000 0.5000 0.5000
0.3750 0.3750 0.3750
0.6250 0.6250 0.6250
```

***

Entry 5:
Entry from the Alexandria database: a relaxed Hf2GaCoH crystal (PBE-GGA).

Summary:
ρ = 11.683 g/cm3
SG = P4/mmm, No. 123
Uncorrected energy = -0.5163 Ry/atom
M_tot = 0.79 μB per cell

```
Hf2GaCoH
1.0
4.3750 0.0000 0.0000
0.0000 4.3750 0.0000
0.0000 0.0000 3.6137
Hf Ga Co H
2 1 1 1
Direct
0.0000 0.5000 0.0000
0.5000 0.0000 0.0000
0.0000 0.0000 0.5000
0.5000 0.5000 0.5000
0.5000 0.5000 0.0000
```

***

Entry 6:
Entry from the Alexandria database: a relaxed HoGaCo2H crystal (PBE-GGA).

Summary:
ρ = 8.934 g/cm3
SG = Cmcm, No. 63
Uncorrected energy = -0.3940 Ry/atom
M_tot = 3.21 μB per cell

```
HoGaCo2H
1.0
1.7481 -5.2286 0.0000
1.7481 5.2286 0.0000
0.0000 0.0000 7.1894
Ho Ga Co H
2 2 4 2
Direct
0.0460 0.9540 0.7500
0.9540 0.0460 0.2500
0.2304 0.7696 0.2500
0.7696 0.2304 0.7500
0.3436 0.6564 0.5480
0.3436 0.6564 0.9520
0.6564 0.3436 0.0480
0.6564 0.3436 0.4520
0.5000 0.5000 0.0000
0.5000 0.5000 0.5000
```

***

Entry 7:
Entry from the Alexandria database: a relaxed Ga2CoHIr crystal (PBE-GGA).

Summary:
ρ = 11.503 g/cm3
SG = P4/mmm, No. 123
Uncorrected energy = -0.3824 Ry/atom
M_tot = 0.46 μB per cell

```
Ga2CoHIr
1.0
4.2463 0.0000 0.0000
0.0000 4.2463 0.0000
0.0000 0.0000 3.1352
Ga Co H Ir
2 1 1 1
Direct
0.0000 0.5000 0.0000
0.5000 0.0000 0.0000
0.0000 0.0000 0.5000
0.0000 0.0000 0.0000
0.5000 0.5000 0.5000
```

***

Entry 8:
Entry from the Alexandria database: a relaxed LaGaCo2H8 crystal (PBE-GGA).

Summary:
ρ = 5.564 g/cm3
SG = P-3, No. 147
Uncorrected energy = -0.3029 Ry/atom
M_tot = 0.00 μB per cell

```
LaGaCo2H8
1.0
4.3125 0.0000 0.0000
-2.1562 3.7347 0.0000
0.0000 0.0000 6.1993
La Ga Co H
1 1 2 8
Direct
0.0000 0.0000 0.0000
0.0000 0.0000 0.5000
0.3333 0.6667 0.6374
0.6667 0.3333 0.3626
0.0377 0.6651 0.3180
0.3333 0.6667 0.8910
0.3349 0.3726 0.3180
0.3726 0.0377 0.6820
0.6274 0.9623 0.3180
0.6651 0.6274 0.6820
0.6667 0.3333 0.1090
0.9623 0.3349 0.6820
```

***

Entry 9:
Entry from the Alexandria database: a relaxed LaGa2CoH crystal (PBE-GGA).

Summary:
ρ = 3.379 g/cm3
SG = P4/mmm, No. 123
Uncorrected energy = -0.2136 Ry/atom
M_tot = 0.19 μB per cell

```
LaGa2CoH
1.0
6.0685 0.0000 0.0000
0.0000 6.0685 0.0000
0.0000 0.0000 4.5145
La Ga Co H
1 2 1 1
Direct
0.0000 0.0000 0.0000
0.0000 0.5000 0.0000
0.5000 0.0000 0.0000
0.0000 0.0000 0.5000
0.5000 0.5000 0.5000
```

***

Entry 10:
Entry from the Alexandria database: a relaxed La2GaCoH crystal (PBE-GGA).

Summary:
ρ = 6.827 g/cm3
SG = P4/mmm, No. 123
Uncorrected energy = -0.3660 Ry/atom
M_tot = 0.35 μB per cell
Relative energy among the computed polymorphs = 116 meV/atom

```
La2GaCoH
1.0
5.2007 0.0000 0.0000
0.0000 5.2007 0.0000
0.0000 0.0000 3.6646
La Ga Co H
2 1 1 1
Direct
0.0000 0.5000 0.0000
0.5000 0.0000 0.0000
0.0000 0.0000 0.5000
0.5000 0.5000 0.5000
0.5000 0.5000 0.0000
```

***

Entry 11:
Entry from the Alexandria database: a relaxed La2GaCoH crystal (PBE-GGA).

Summary:
ρ = 6.559 g/cm3
SG = P2_1/m, No. 11
Uncorrected energy = -0.3746 Ry/atom
M_tot = 0.00 μB per cell
Relative energy among the computed polymorphs = 0 meV/atom

```
La2GaCoH
1.0
6.1592 0.0000 0.0000
0.0000 4.3445 0.0000
-1.8930 0.0000 7.7102
La Ga Co H
4 2 2 2
Direct
0.2337 0.2500 0.4164
0.2390 0.2500 0.9726
0.7610 0.7500 0.0274
0.7663 0.7500 0.5836
0.3251 0.7500 0.7124
0.6749 0.2500 0.2876
0.4672 0.7500 0.2384
0.5328 0.2500 0.7616
0.1900 0.7500 0.1792
0.8100 0.2500 0.8208
```

***

Entry 12:
Entry from the Alexandria database: a relaxed Li2GaCoH crystal (PBE-GGA).

Summary:
ρ = 4.695 g/cm3
SG = P4/mmm, No. 123
Uncorrected energy = -0.2663 Ry/atom
M_tot = 0.35 μB per cell

```
Li2GaCoH
1.0
3.6321 0.0000 0.0000
0.0000 3.6321 0.0000
0.0000 0.0000 3.8484
Li Ga Co H
2 1 1 1
Direct
0.0000 0.5000 0.0000
0.5000 0.0000 0.0000
0.0000 0.0000 0.5000
0.5000 0.5000 0.5000
0.5000 0.5000 0.0000
```

***

> Look up the M_tot of the sixth one.

3.21 μB per cell

***

> uncorrected energy of number 10 (La2GaCoH)?

-0.3660 Ry/atom